VASP calculation (PBE) on crystalline CsRbTaF6 at its relaxed geometry.

The structure in POSCAR format:
```
CsRbTaF6
1.0
7.064 0.000 0.000
-3.532 6.117 0.000
0.000 0.000 9.129
Cs Rb Ta F
2 2 2 12
direct
0.000 0.000 0.000
0.000 0.000 0.500
0.333 0.667 0.250
0.667 0.333 0.750
0.333 0.667 0.750
0.667 0.333 0.250
0.086 0.419 0.642
0.086 0.667 0.858
0.333 0.419 0.858
0.333 0.914 0.642
0.419 0.086 0.142
0.419 0.333 0.358
0.581 0.667 0.642
0.581 0.914 0.858
0.667 0.086 0.358
0.667 0.581 0.142
0.914 0.333 0.142
0.914 0.581 0.358
```

Output
Calculated density = 4.32 g cm⁻³
Energy relative to the elements, uncorrected = -27.02 eV/f.u.
Final energy = -103.841 eV/cell
Total moment = 1.00 μB per formula unit



VASP calculation (PBE) on crystalline Cs2Hg7Au at its relaxed geometry.

The structure in POSCAR format:
```
Cs2Hg7Au
1.0
-4.103 4.103 5.715
4.103 -4.103 5.715
4.103 4.103 -5.715
Cs Hg Au
2 7 1
direct
0.250 0.750 0.500
0.750 0.250 0.500
0.000 0.000 0.000
0.255 0.255 0.000
0.256 0.256 0.511
0.256 0.744 0.000
0.744 0.256 0.000
0.744 0.744 0.489
0.745 0.745 0.000
0.500 0.500 0.000
```

Output
Calculated density = 8.06 g cm⁻³
Excess energy over the best structure of this formula in the dataset = 34 meV/atom
Final energy = -8.727 eV/cell
Total moment = 0.00 μB per formula unit
ΔE_f = -0.163 eV per atom



VASP calculation (PBE) on crystalline Na2BAsS4 at its relaxed geometry.

The structure in POSCAR format:
```
Na2BAsS4
1.0
0.000 6.356 9.292
3.010 0.000 9.292
3.010 6.356 0.000
Na B As S
4 2 2 8
direct
0.063 0.063 0.687
0.313 0.313 0.937
0.687 0.687 0.063
0.937 0.937 0.313
0.125 0.125 0.125
0.875 0.875 0.875
0.375 0.375 0.375
0.625 0.625 0.625
0.089 0.277 0.345
0.210 0.655 0.723
0.277 0.089 0.790
0.345 0.790 0.089
0.655 0.210 0.911
0.723 0.911 0.210
0.790 0.345 0.277
0.911 0.723 0.655
```

Output
Calculated density = 2.43 g cm⁻³
Energy relative to the elements, uncorrected = -4.29 eV/f.u.
Final energy = -69.532 eV/cell
Total moment = 0.00 μB per formula unit



VASP calculation (PBE) on crystalline Pm5HoAu6 at its relaxed geometry.

The structure in POSCAR format:
```
Pm5HoAu6
1.0
8.248 -3.652 0.000
8.248 3.652 0.000
-1.638 0.000 4.946
Pm Ho Au
5 1 6
direct
0.000 0.000 0.000
0.165 0.165 0.665
0.331 0.331 0.332
0.669 0.669 0.668
0.835 0.835 0.335
0.500 0.500 0.000
0.096 0.580 0.838
0.265 0.735 0.500
0.420 0.904 0.162
0.580 0.096 0.838
0.735 0.265 0.500
0.904 0.420 0.162
```

Output
Calculated density = 11.55 g cm⁻³
Final energy = -57.557 eV/cell
Total moment = 0.00 μB per formula unit
ΔE_f = -0.797 eV per atom



VASP calculation (PBE) on crystalline ScGaCuOs at its relaxed geometry.

The structure in POSCAR format:
```
ScGaCuOs
1.0
0.000 3.130 3.130
3.130 0.000 3.130
3.130 3.130 0.000
Sc Ga Cu Os
1 1 1 1
direct
0.000 0.000 0.000
0.500 0.500 0.500
0.750 0.750 0.750
0.250 0.250 0.250
```

Output
Calculated density = 9.98 g cm⁻³
Final energy = -25.541 eV/cell
Total moment = 0.00 μB per formula unit
ΔE_f = -0.214 eV per atom



VASP calculation (PBE) on crystalline KBPt3 at its relaxed geometry.

The structure in POSCAR format:
```
KBPt3
1.0
5.083 0.000 0.000
-0.135 6.196 0.000
-2.389 -2.747 6.019
K B Pt
2 2 6
direct
0.000 0.000 0.000
0.362 0.698 0.697
0.365 0.505 0.204
0.517 0.187 0.519
0.129 0.082 0.503
0.470 0.340 0.930
0.566 0.852 0.320
0.676 0.342 0.350
0.895 0.363 0.775
0.990 0.611 0.204
```

Output
Calculated density = 11.13 g cm⁻³
Final energy = -54.227 eV/cell
Total moment = 0.00 μB per formula unit
ΔE_f = -0.243 eV per atom